[1]
VASP calculation (GGA-PBE) on Cr4GaSb2 after structural relaxation.

As for the total energy: -6.468 eV per atom. The calculation puts the uncorrected formation energy at 641 meV per atom.

It has space group I4/mmm (No. 139), with a = 4.570 Å, b = 4.570 Å, c = 14.014 Å, α = 90.00°, β = 90.00° and γ = 90.00°. The inequivalent atoms are Cr at (0.000, 0.000, 0.179), Cr at (0.000, 0.500, 0.000), Ga at (0.000, 0.000, 0.000) and Sb at (0.000, 0.000, 0.371).

[2]
VASP calculation (GGA-PBE) on K2MgIO4 after structural relaxation.

As for the total energy: -4.424 eV per atom. The calculation puts the uncorrected formation energy at -1278 meV per atom.

It has space group I-4 (No. 82), with a = 6.302 Å, b = 6.302 Å, c = 7.084 Å, α = 90.00°, β = 90.00° and γ = 90.00°. The inequivalent atoms are K at (0.000, 0.000, 0.000), K at (0.000, 0.500, 0.250), Mg at (0.000, 0.500, 0.750), I at (0.000, 0.000, 0.500) and O at (0.137, 0.288, 0.576).

[3]
VASP calculation (GGA-PBE) on AcLaPrMg after structural relaxation.

For the calculated formation energy, the calculation gives 0.07 eV per atom. As for the total energy: -3.783 eV per atom.

It has space group F-43m (No. 216), with a = 8.291 Å, b = 8.291 Å, c = 8.291 Å, α = 90.00°, β = 90.00° and γ = 90.00°. The inequivalent atoms are Ac at (0.000, 0.000, 0.000), La at (0.250, 0.250, 0.750), Pr at (0.250, 0.250, 0.250) and Mg at (0.000, 0.000, 0.500).

[4]
VASP calculation (GGA-PBE) on Tb3Pr2Er5 after structural relaxation.

For the calculated formation energy, the calculation gives 0.41 eV per atom. As for the total energy: -4.214 eV per atom.

It has space group Ibam (No. 72), with a = 9.403 Å, b = 21.702 Å, c = 6.784 Å, α = 90.00°, β = 90.00° and γ = 90.00°. The inequivalent atoms are Tb at (0.000, 0.000, 0.250), Tb at (0.249, 0.373, 0.000), Pr at (0.105, 0.125, 0.000), Er at (0.000, 0.252, 0.250), Er at (0.000, 0.500, 0.250) and Er at (0.085, 0.375, 0.500).

[5]
VASP calculation (GGA-PBE) on Ba3ThAl2O9 after structural relaxation.

As for the total energy: -7.095 eV per atom. The calculation puts the uncorrected formation energy at -2742 meV per atom.

It has space group P-3m1 (No. 164), with a = 5.8497 Å, b = 5.8497 Å, c = 7.2759 Å, α = 90.00°, β = 90.00° and γ = 120.00°. The inequivalent atoms are Ba at (0.0000, 0.0000, 0.0000), Ba at (0.3333, 0.6667, 0.6898), Th at (0.0000, 0.0000, 0.5000), Al at (0.3333, 0.6667, 0.1587), O at (0.0000, 0.5000, 0.0000) and O at (0.1791, 0.3582, 0.3095).

[6]
VASP calculation (GGA-PBE) on NdCdIn4 after structural relaxation.

For the calculated formation energy, the calculation gives -0.10 eV per atom. As for the total energy: -2.874 eV per atom.

It has space group F-43m (No. 216), with a = 8.671 Å, b = 8.671 Å, c = 8.671 Å, α = 90.00°, β = 90.00° and γ = 90.00°. The inequivalent atoms are Nd at (0.000, 0.000, 0.000), Cd at (0.250, 0.250, 0.250) and In at (0.125, 0.125, 0.625).

[7]
VASP calculation (GGA-PBE) on Pm2Pr6Sc3 after structural relaxation.

For the calculated formation energy, the calculation gives 0.05 eV per atom. As for the total energy: -5.143 eV per atom.

It has space group P-1 (No. 2), with a = 6.219 Å, b = 7.983 Å, c = 7.994 Å, α = 107.67°, β = 104.68° and γ = 97.82°. The inequivalent atoms are Pm at (0.133, 0.234, 0.045), Pr at (0.225, 0.051, 0.411), Pr at (0.318, 0.848, 0.767), Pr at (0.406, 0.674, 0.142), Sc at (0.042, 0.413, 0.672) and Sc at (0.500, 0.500, 0.500).

[8]
VASP calculation (GGA-PBE) on NaNiGe2 after structural relaxation.

For the calculated formation energy, the calculation gives -0.15 eV per atom. As for the total energy: -4.235 eV per atom.

It has space group R-3m (No. 166, hexagonal axes), with a = 3.9765 Å, b = 3.9765 Å, c = 17.3973 Å, α = 90.00°, β = 90.00° and γ = 120.00°. The inequivalent atoms are Na at (0.0000, 0.0000, 0.0000), Ni at (0.0000, 0.0000, 0.5000) and Ge at (0.0000, 0.0000, 0.2117).

[9]
VASP calculation (GGA-PBE) on Ba2CdFe after structural relaxation.

For the calculated formation energy, the calculation gives 0.47 eV per atom. As for the total energy: -2.840 eV per atom.

It has space group F-43m (No. 216), with a = 7.918 Å, b = 7.918 Å, c = 7.918 Å, α = 90.00°, β = 90.00° and γ = 90.00°. The inequivalent atoms are Ba at (0.000, 0.000, 0.000), Ba at (0.250, 0.250, 0.250), Cd at (0.000, 0.000, 0.500) and Fe at (0.250, 0.250, 0.750).

[10]
VASP calculation (GGA-PBE) on Tm2ZrF11 after structural relaxation.

As for the total energy: -6.375 eV per atom. The calculation puts the uncorrected formation energy at -3656 meV per atom.

It has space group Ibam (No. 72), with a = 8.115 Å, b = 9.929 Å, c = 10.593 Å, α = 90.00°, β = 90.00° and γ = 90.00°. The inequivalent atoms are Tm at (0.162, 0.191, 0.000), Zr at (0.000, 0.500, 0.250), F at (0.000, 0.000, 0.000), F at (0.095, 0.333, 0.145), F at (0.110, 0.191, 0.500) and F at (0.202, 0.426, 0.363).

[11]
VASP calculation (GGA-PBE) on Ba2Pd2Rh after structural relaxation.

For the calculated formation energy, the calculation gives -0.19 eV per atom. As for the total energy: -4.510 eV per atom.

It has space group P4/mbm (No. 127), with a = 7.389 Å, b = 7.389 Å, c = 4.732 Å, α = 90.00°, β = 90.00° and γ = 90.00°. The inequivalent atoms are Ba at (0.182, 0.318, 0.000), Pd at (0.132, 0.632, 0.500) and Rh at (0.000, 0.000, 0.500).

[12]
VASP calculation (GGA-PBE) on BaSc2Si after structural relaxation.

As for the total energy: -5.155 eV per atom. The calculation puts the uncorrected formation energy at -153 meV per atom.

It has space group R3m (No. 160, hexagonal axes), with a = 4.5370 Å, b = 4.5370 Å, c = 19.9528 Å, α = 90.00°, β = 90.00° and γ = 120.00°. The inequivalent atoms are Ba at (0.0000, 0.0000, 0.0000), Sc at (0.0000, 0.0000, 0.2054), Sc at (0.0000, 0.0000, 0.4523) and Si at (0.0000, 0.0000, 0.8201).

[13]
VASP calculation (GGA-PBE) on Er3InSb after structural relaxation.

As for the total energy: -4.546 eV per atom. The calculation puts the uncorrected formation energy at -436 meV per atom.

It has space group C2/m (No. 12), with a = 17.911 Å, b = 4.132 Å, c = 8.725 Å, α = 90.00°, β = 107.13° and γ = 90.00°. The inequivalent atoms are Er at (0.002, 0.000, 0.284), Er at (0.180, 0.000, 0.088), Er at (0.182, 0.000, 0.589), In at (0.133, 0.500, 0.806) and Sb at (0.137, 0.500, 0.311).

[14]
VASP calculation (GGA-PBE) on BaNdB2O6 after structural relaxation.

As for the total energy: -7.687 eV per atom. The calculation puts the uncorrected formation energy at -2708 meV per atom.

It has space group C2/c (No. 15), with a = 8.576 Å, b = 10.220 Å, c = 7.139 Å, α = 90.00°, β = 110.68° and γ = 90.00°. The inequivalent atoms are Ba at (0.000, 0.139, 0.250), Nd at (0.000, 0.410, 0.750), B at (0.243, 0.376, 0.260), O at (0.090, 0.384, 0.106), O at (0.174, 0.241, 0.696) and O at (0.204, 0.014, 0.623).

[15]
VASP calculation (GGA-PBE) on YTm3Pt after structural relaxation.

For the calculated formation energy, the calculation gives -0.45 eV per atom. As for the total energy: -5.631 eV per atom.

It has space group Pmn2_1 (No. 31), with a = 7.499 Å, b = 6.669 Å, c = 5.997 Å, α = 90.00°, β = 90.00° and γ = 90.00°. The inequivalent atoms are Y at (0.000, 0.141, 0.000), Tm at (0.000, 0.849, 0.488), Tm at (0.246, 0.301, 0.496) and Pt at (0.000, 0.505, 0.749).

[16]
VASP calculation (GGA-PBE) on In2AgSe after structural relaxation.

As for the total energy: -3.009 eV per atom. The calculation puts the uncorrected formation energy at -56 meV per atom.

It has space group P2/m (No. 10), with a = 3.677 Å, b = 3.678 Å, c = 7.158 Å, α = 90.00°, β = 100.89° and γ = 90.00°. The inequivalent atoms are In at (0.011, 0.000, 0.250), Ag at (0.500, 0.500, 0.000) and Se at (0.500, 0.500, 0.500).

[17]
VASP calculation (GGA-PBE) on CaPmMgSi after structural relaxation.

As for the total energy: -3.670 eV per atom. The calculation puts the uncorrected formation energy at -227 meV per atom.

It has space group F-43m (No. 216), with a = 7.369 Å, b = 7.369 Å, c = 7.369 Å, α = 90.00°, β = 90.00° and γ = 90.00°. The inequivalent atoms are Ca at (0.000, 0.000, 0.000), Pm at (0.000, 0.000, 0.500), Mg at (0.250, 0.250, 0.250) and Si at (0.250, 0.250, 0.750).

[18]
VASP calculation (GGA-PBE) on NiIr after structural relaxation.

For the calculated formation energy, the calculation gives 0.17 eV per atom. As for the total energy: -7.155 eV per atom.

It has space group I4/mmm (No. 139), with a = 7.825 Å, b = 7.825 Å, c = 3.565 Å, α = 90.00°, β = 90.00° and γ = 90.00°. The inequivalent atoms are Ni at (0.000, 0.330, 0.000) and Ir at (0.163, 0.163, 0.500).

[19]
VASP calculation (GGA-PBE) on TcOs2Cl after structural relaxation.

As for the total energy: -8.083 eV per atom. The calculation puts the uncorrected formation energy at 585 meV per atom.

It has space group P4mm (No. 99), with a = 2.783 Å, b = 2.783 Å, c = 8.436 Å, α = 90.00°, β = 90.00° and γ = 90.00°. The inequivalent atoms are Tc at (0.000, 0.000, 0.000), Os at (0.000, 0.000, 0.563), Os at (0.500, 0.500, 0.778) and Cl at (0.500, 0.500, 0.195).

[20]
VASP calculation (GGA-PBE) on Ba2Si2SnAu6 after structural relaxation.

As for the total energy: -3.877 eV per atom. The calculation puts the uncorrected formation energy at -389 meV per atom.

It has space group R-3m (No. 166, hexagonal axes), with a = 6.8713 Å, b = 6.8713 Å, c = 24.7618 Å, α = 90.00°, β = 90.00° and γ = 120.00°. The inequivalent atoms are Ba at (0.0000, 0.0000, 0.2184), Si at (0.0000, 0.0000, 0.4523), Sn at (0.0000, 0.0000, 0.0000) and Au at (0.0519, 0.5259, 0.7579).